Entry 1:
The following is a meta-GGA SCAN calculation of a PBEsol-optimized structure of ZrReAsBr2, from Alexandria via LeMat-Bulk.

Properties
E_form (uncorrected) (kJ/mol of formula units): 393
Magnetization (Bohr magnetons per cell): 2.39
Relative energy among the computed polymorphs (eV per formula unit): 0.34
SG: P4/mmm

```
data_ZrReAsBr2
_chemical_formula_sum 'Zr1 Re1 As1 Br2'
_cell_length_a 4.731
_cell_length_b 4.986
_cell_length_c 4.986
_cell_angle_alpha 90.00
_cell_angle_beta 90.00
_cell_angle_gamma 90.00
_space_group_name_H-M_alt 'P 1'
_space_group_IT_number 1
_space_group_name_Hall 'P 1'
loop_
_atom_site_label
_atom_site_type_symbol
_atom_site_fract_x
_atom_site_fract_y
_atom_site_fract_z
As1 As 0.500 0.000 0.000
Zr1 Zr 0.500 0.500 0.500
Br1 Br 0.000 0.500 0.000
Br2 Br 0.000 0.000 0.500
Re1 Re 0.000 0.000 0.000
```



Entry 2:
The following is a meta-GGA SCAN calculation of a PBEsol-optimized structure of AsRh2Br, from Alexandria via LeMat-Bulk.

Properties
E_form (uncorrected) (kJ/mol of formula units): -108
Magnetization (Bohr magnetons per cell): 0.00
Relative energy among the computed polymorphs (eV per formula unit): 0.00
SG: R-3m

```
data_AsRh2Br
_chemical_formula_sum 'As1 Rh2 Br1'
_cell_length_a 3.721
_cell_length_b 3.721
_cell_length_c 6.286
_cell_angle_alpha 72.78
_cell_angle_beta 72.78
_cell_angle_gamma 60.00
_space_group_name_H-M_alt 'P 1'
_space_group_IT_number 1
_space_group_name_Hall 'P 1'
loop_
_atom_site_label
_atom_site_type_symbol
_atom_site_fract_x
_atom_site_fract_y
_atom_site_fract_z
Rh1 Rh 0.775 0.775 0.674
Rh2 Rh 0.225 0.225 0.326
As1 As 0.500 0.500 0.500
Br1 Br 0.000 0.000 0.000
```



Entry 3:
The following is a meta-GGA SCAN calculation of a PBEsol-optimized structure of As2RhBr, from Alexandria via LeMat-Bulk.

Properties
E_form (uncorrected) (kJ/mol of formula units): -78
Magnetization (Bohr magnetons per cell): 0.00
Relative energy among the computed polymorphs (eV per formula unit): 0.00
SG: Cm

```
data_As2RhBr
_chemical_formula_sum 'As2 Rh1 Br1'
_cell_length_a 3.394
_cell_length_b 4.532
_cell_length_c 6.731
_cell_angle_alpha 107.82
_cell_angle_beta 90.00
_cell_angle_gamma 111.99
_space_group_name_H-M_alt 'P 1'
_space_group_IT_number 1
_space_group_name_Hall 'P 1'
loop_
_atom_site_label
_atom_site_type_symbol
_atom_site_fract_x
_atom_site_fract_y
_atom_site_fract_z
Br1 Br 0.420 0.841 0.445
As1 As 0.215 0.429 0.838
As2 As 0.068 0.136 0.077
Rh1 Rh 0.797 0.595 0.140
```



Entry 4:
The following is a meta-GGA SCAN calculation of a PBEsol-optimized structure of As2RhBr, from Alexandria via LeMat-Bulk.

Properties
E_form (uncorrected) (kJ/mol of formula units): -66
Magnetization (Bohr magnetons per cell): 0.00
Relative energy among the computed polymorphs (eV per formula unit): 0.13
SG: Cmmm

```
data_As2RhBr
_chemical_formula_sum 'As2 Rh1 Br1'
_cell_length_a 3.341
_cell_length_b 4.977
_cell_length_c 5.229
_cell_angle_alpha 118.42
_cell_angle_beta 90.00
_cell_angle_gamma 90.00
_space_group_name_H-M_alt 'P 1'
_space_group_IT_number 1
_space_group_name_Hall 'P 1'
loop_
_atom_site_label
_atom_site_type_symbol
_atom_site_fract_x
_atom_site_fract_y
_atom_site_fract_z
As1 As 0.000 0.804 0.608
As2 As 0.000 0.196 0.392
Rh1 Rh 0.500 0.000 0.000
Br1 Br 0.500 0.500 0.000
```